A relaxed structure of TiZn5Pd6, computed with PBE. Values from VASP.

Cell and atoms, written as Quantum ESPRESSO input:
```
&SYSTEM
  ibrav = 0, nat = 12, ntyp = 3
/
ATOMIC_SPECIES
Pd 106.42 Pd.upf
Ti 47.87 Ti.upf
Zn 65.41 Zn.upf
ATOMIC_POSITIONS crystal
Pd 0.500 0.251 0.000
Pd 0.825 0.749 0.669
Pd 0.500 0.749 0.000
Ti 0.000 0.000 0.000
Zn 0.000 0.500 0.000
Pd 0.175 0.251 0.331
Pd 0.825 0.251 0.669
Pd 0.175 0.749 0.331
Zn 0.325 0.500 0.668
Zn 0.679 0.000 0.335
Zn 0.675 0.500 0.332
Zn 0.321 0.000 0.665
CELL_PARAMETERS angstrom
4.342 0.002 -1.371
-0.003 5.769 -0.001
-1.444 0.000 7.472
```

Results
- D(E_F) (states/eV/f.u.) = 5.34
- size of the total moment (μB per formula unit) = 0.0
- DFT total energy (eV per atom) = -4.347
- formation energy (meV/atom) = -562
- V (Å³/f.u.) = 175.7
- theoretical density (g cm⁻³) = 9.6
- space group = No. 10